AlMo2Ir | PBE | optimized geometry

Calculated values
Calculated total energy   -140.912 eV per cell
Spin magnetization   0.0 μB/f.u.
Calculated volume   60 Å³/f.u.

Cell lengths 6.2261, 6.2261, 6.2261 Å; angles 90.00, 90.00, 90.00 degrees
Closest atoms and distances in Å follow each position.
Space group F-43m (No. 216)
One atom of each set of equivalent atoms:
Al 0.0000 0.0000 0.0000 [4 per cell]  4 Mo 2.70, 4 Ir 2.70
Mo 0.0000 0.0000 0.5000 [4 per cell]  4 Mo 2.70, 4 Ir 2.70
Mo 0.2500 0.2500 0.7500 [4 per cell]  4 Mo 2.70, 4 Al 2.70
Ir 0.2500 0.2500 0.2500 [4 per cell]  4 Mo 2.70, 4 Al 2.70